Compound: SmTm7Sc2
Source: Alexandria
Functional: PBE-GGA
Structure: relaxed

Structure (POSCAR):
```
SmTm7Sc2
1.0
8.819 -2.632 0.000
8.819 2.632 0.000
-2.663 0.000 6.326
Sm Tm Sc
1 7 2
Cartesian
0.000 0.000 0.000
-1.331 0.000 3.163
3.037 0.000 1.287
6.461 0.000 0.882
5.142 0.000 4.015
9.833 0.000 2.311
8.515 0.000 5.444
11.938 0.000 5.039
1.652 0.000 4.428
13.323 0.000 1.898
```

Calculated values
**M_tot**: 0.000 μB/f.u.
**E_tot**: -4.824 eV/atom
**Distance to the lowest polymorph of the same formula**: 0.0 kJ per mole of atoms
**E_form**: 0.044 eV/atom
**Symmetry**: C2/m, No. 12
**DOS at the Fermi energy**: 1.781 states/eV per atom

---

Compound: Pu8Te4P3S
Source: Alexandria
Functional: PBE-GGA
Structure: relaxed

Structure (POSCAR):
```
Pu8Te4P3S
1.0
4.167 2.406 7.005
-4.167 2.406 7.005
0.000 -4.811 7.005
Pu Te P S
8 4 3 1
Cartesian
-2.089 -1.206 12.015
0.000 0.000 5.031
0.000 -2.412 9.001
-2.089 1.206 9.001
2.089 -1.206 12.015
0.000 2.412 12.015
0.000 0.000 15.984
2.089 1.206 9.001
0.000 0.000 0.000
-2.083 -1.203 7.005
-2.083 1.203 14.011
0.000 2.406 7.005
-4.167 0.000 10.508
-2.083 1.203 3.503
2.083 1.203 3.503
0.000 0.000 10.508
```

Calculated values
**M_tot**: 21.731 μB/f.u.
**E_tot**: -10.402 eV/atom
**Formation energy without anion corrections**: -1.18 eV/atom
**Symmetry**: R-3m, No. 166
**DOS at the Fermi energy**: 5.174 states/eV per atom

---

Compound: CdSiSb2I
Source: Alexandria
Functional: PBE-GGA
Structure: relaxed

Structure (POSCAR):
```
CdSiSb2I
1.0
5.296 0.000 0.000
0.000 5.296 0.000
0.000 0.000 5.584
Cd Si Sb I
1 1 2 1
Cartesian
0.000 0.000 0.000
2.648 2.648 2.792
0.000 2.648 2.792
2.648 0.000 2.792
2.648 2.648 0.000
```

Calculated values
**M_tot**: 0.000 μB/f.u.
**E_tot**: -2.700 eV/atom
**Formation energy without anion corrections**: 0.53 eV/atom
**Distance to the lowest polymorph of the same formula**: 0.0 kJ per mole of atoms
**Symmetry**: P4/mmm, No. 123
**DOS at the Fermi energy**: 1.035 states/eV per atom

---

> The highest E_tot belongs to which entry?

CdSiSb2I

---

Please write out number 2 again, unchanged.
Compound: Pu8Te4P3S
Source: Alexandria
Functional: PBE-GGA
Structure: relaxed

Structure (POSCAR):
```
Pu8Te4P3S
1.0
4.167 2.406 7.005
-4.167 2.406 7.005
0.000 -4.811 7.005
Pu Te P S
8 4 3 1
Cartesian
-2.089 -1.206 12.015
0.000 0.000 5.031
0.000 -2.412 9.001
-2.089 1.206 9.001
2.089 -1.206 12.015
0.000 2.412 12.015
0.000 0.000 15.984
2.089 1.206 9.001
0.000 0.000 0.000
-2.083 -1.203 7.005
-2.083 1.203 14.011
0.000 2.406 7.005
-4.167 0.000 10.508
-2.083 1.203 3.503
2.083 1.203 3.503
0.000 0.000 10.508
```

Calculated values
**M_tot**: 21.731 μB/f.u.
**E_tot**: -10.402 eV/atom
**Formation energy without anion corrections**: -1.18 eV/atom
**Symmetry**: R-3m, No. 166
**DOS at the Fermi energy**: 5.174 states/eV per atom

---

> Look up the M_tot of the second one.

21.731 μB/f.u.

---

> What is the M_tot in the third record?

0.000 μB/f.u.